Entry 1:
Density functional theory data (GGA-PBE) for a relaxed structure of Ti3BeAu.

Calculated values
**Energy above the lowest structure with this stoichiometry**: 893 meV/atom
**Calculated total energy**: -5.035 eV/atom
**ΔE_f**: 1.10 eV/atom
**Space group**: No. 221
**Magnetization**: 0.00 μB/cell
**Mass density**: 5070 kg/m3
**DOS at the Fermi energy**: 7.40 states/eV/f.u.
**V**: 114.5 Å³/f.u.

Lattice parameters (Å, degrees): 4.856 4.856 4.856 90.00 90.00 90.00
Element x y z (fractional)
Ti 0.000 0.000 0.500
Ti 0.000 0.500 0.000
Ti 0.500 0.000 0.000
Be 0.500 0.500 0.500
Au 0.000 0.000 0.000

Entry 2:
Density functional theory data (GGA-PBE) for a relaxed structure of Al4PtW.

Calculated values
**Calculated total energy**: -5.589 eV/atom
**ΔE_f**: 0.07 eV/atom
**Space group**: No. 216
**Magnetization**: 0.00 μB/cell
**Mass density**: 8964 kg/m3
**DOS at the Fermi energy**: 3.34 states/eV/f.u.
**V**: 90.2 Å³/f.u.

Lattice parameters (Å, degrees): 5.034 5.034 5.034 60.00 60.00 60.00
Element x y z (fractional)
Al 0.125 0.125 0.125
Al 0.125 0.125 0.625
Al 0.125 0.625 0.125
Al 0.625 0.125 0.125
Pt 0.750 0.750 0.750
W 0.500 0.500 0.500

Entry 3:
Density functional theory data (GGA-PBE) for a relaxed structure of FeSnSCl2.

Calculated values
**Formation energy from raw total energies**: -15 kJ/mol of atoms
**Energy above the lowest structure with this stoichiometry**: 0 meV/atom
**Calculated total energy**: -4.213 eV/atom
**Space group**: No. 123
**Magnetization**: 0.00 μB/cell
**Mass density**: 4447 kg/m3
**DOS at the Fermi energy**: 9.04 states/eV/f.u.
**V**: 103.6 Å³/f.u.

Lattice parameters (Å, degrees): 4.672 4.672 4.748 90.00 90.00 90.00
Element x y z (fractional)
Fe 0.000 0.000 0.000
Sn 0.500 0.500 0.500
S 0.000 0.000 0.500
Cl 0.000 0.500 0.000
Cl 0.500 0.000 0.000

Entry 4:
Density functional theory data (GGA-PBE) for a relaxed structure of PaMn2Ge2.

Calculated values
**Calculated total energy**: -7.570 eV/atom
**ΔE_f**: -0.16 eV/atom
**Space group**: No. 70
**Magnetization**: 4.40 μB/cell
**Mass density**: 9572 kg/m3
**DOS at the Fermi energy**: 3.56 states/eV/f.u.
**V**: 84.3 Å³/f.u.

Lattice parameters (Å, degrees): 8.535 7.853 5.043 79.63 64.83 35.54
Element x y z (fractional)
Pa 0.125 0.125 0.125
Pa 0.875 0.875 0.875
Mn 0.160 0.590 0.160
Mn 0.410 0.840 0.410
Mn 0.590 0.160 0.590
Mn 0.840 0.410 0.840
Ge 0.262 0.262 0.488
Ge 0.488 0.488 0.262
Ge 0.512 0.512 0.738
Ge 0.738 0.738 0.512

Entry 5:
Density functional theory data (GGA-PBE) for a relaxed structure of LiPaReSi.

Calculated values
**Formation energy from raw total energies**: -4 kJ/mol of atoms
**Calculated total energy**: -7.366 eV/atom
**Space group**: No. 216
**Magnetization**: 0.00 μB/cell
**Mass density**: 11069 kg/m3
**DOS at the Fermi energy**: 4.01 states/eV/f.u.
**V**: 67.8 Å³/f.u.

Lattice parameters (Å, degrees): 4.578 4.578 4.578 60.00 60.00 60.00
Element x y z (fractional)
Li 0.000 0.000 0.000
Pa 0.750 0.750 0.750
Re 0.500 0.500 0.500
Si 0.250 0.250 0.250

Entry 6:
Density functional theory data (GGA-PBE) for a relaxed structure of Zn3Ni2Au.

Calculated values
**Calculated total energy**: -3.326 eV/atom
**ΔE_f**: -0.22 eV/atom
**Space group**: No. 123
**Magnetization**: 0.00 μB/cell
**Mass density**: 10426 kg/m3
**DOS at the Fermi energy**: 2.70 states/eV/f.u.
**V**: 81.3 Å³/f.u.

Lattice parameters (Å, degrees): 2.856 2.856 9.969 90.00 90.00 90.00
Element x y z (fractional)
Zn 0.000 0.000 0.000
Zn 0.000 0.000 0.301
Zn 0.000 0.000 0.699
Ni 0.500 0.500 0.150
Ni 0.500 0.500 0.850
Au 0.500 0.500 0.500

Entry 7:
Density functional theory data (GGA-PBE) for a relaxed structure of ThPa2CrC4.

Calculated values
**Calculated total energy**: -9.344 eV/atom
**ΔE_f**: -0.23 eV/atom
**Space group**: No. 63
**Magnetization**: 1.43 μB/cell
**Mass density**: 10522 kg/m3
**DOS at the Fermi energy**: 7.79 states/eV/f.u.
**V**: 125.3 Å³/f.u.

Lattice parameters (Å, degrees): 6.141 6.141 12.019 90.00 90.00 146.42
Element x y z (fractional)
Th 0.098 0.902 0.750
Th 0.902 0.098 0.250
Pa 0.367 0.633 0.548
Pa 0.367 0.633 0.952
Pa 0.633 0.367 0.048
Pa 0.633 0.367 0.452
Cr 0.165 0.835 0.250
Cr 0.835 0.165 0.750
C 0.000 0.000 0.000
C 0.000 0.000 0.500
C 0.265 0.735 0.130
C 0.265 0.735 0.370
C 0.420 0.580 0.750
C 0.580 0.420 0.250
C 0.735 0.265 0.630
C 0.735 0.265 0.870

Entry 8:
Density functional theory data (GGA-PBE) for a relaxed structure of Li8AgRh2.

Calculated values
**Calculated total energy**: -3.007 eV/atom
**ΔE_f**: -0.02 eV/atom
**Space group**: No. 12
**Magnetization**: 0.00 μB/cell
**Mass density**: 3835 kg/m3
**DOS at the Fermi energy**: 3.45 states/eV/f.u.
**V**: 159.9 Å³/f.u.

Lattice parameters (Å, degrees): 7.474 7.474 4.593 107.69 107.69 124.58
Element x y z (fractional)
Li 0.093 0.380 0.744
Li 0.199 0.801 0.000
Li 0.380 0.093 0.744
Li 0.483 0.483 0.713
Li 0.517 0.517 0.287
Li 0.620 0.907 0.256
Li 0.801 0.199 0.000
Li 0.907 0.620 0.256
Ag 0.000 0.000 0.000
Rh 0.323 0.677 0.500
Rh 0.677 0.323 0.500

Entry 9:
Density functional theory data (GGA-PBE) for a relaxed structure of Sc2AsBr.

Calculated values
**Formation energy from raw total energies**: -10 kJ/mol of atoms
**Calculated total energy**: -4.852 eV/atom
**Space group**: No. 216
**Magnetization**: 1.98 μB/cell
**Mass density**: 4666 kg/m3
**DOS at the Fermi energy**: 6.03 states/eV/f.u.
**V**: 87.1 Å³/f.u.

Lattice parameters (Å, degrees): 4.975 4.975 4.975 60.00 60.00 60.00
Element x y z (fractional)
Sc 0.000 0.000 0.000
Sc 0.250 0.250 0.250
As 0.750 0.750 0.750
Br 0.500 0.500 0.500

Entry 10:
Density functional theory data (GGA-PBE) for a relaxed structure of Pm12ZnPd6.

Calculated values
**Calculated total energy**: -5.085 eV/atom
**ΔE_f**: -0.38 eV/atom
**Space group**: No. 148
**Magnetization**: 0.00 μB/cell
**Mass density**: 6980 kg/m3
**DOS at the Fermi energy**: 23.67 states/eV/f.u.
**V**: 581.4 Å³/f.u.

Lattice parameters (Å, degrees): 8.557 8.557 8.557 101.65 101.65 101.65
Element x y z (fractional)
Pm 0.057 0.921 0.675
Pm 0.079 0.325 0.943
Pm 0.174 0.569 0.411
Pm 0.325 0.943 0.079
Pm 0.411 0.174 0.569
Pm 0.431 0.589 0.826
Pm 0.569 0.411 0.174
Pm 0.589 0.826 0.431
Pm 0.675 0.057 0.921
Pm 0.826 0.431 0.589
Pm 0.921 0.675 0.057
Pm 0.943 0.079 0.325
Zn 0.000 0.000 0.000
Pd 0.139 0.318 0.619
Pd 0.318 0.619 0.139
Pd 0.381 0.861 0.682
Pd 0.619 0.139 0.318
Pd 0.682 0.381 0.861
Pd 0.861 0.682 0.381

Entry 11:
Density functional theory data (GGA-PBE) for a relaxed structure of MgTiBe3.

Calculated values
**Energy above the lowest structure with this stoichiometry**: 0 meV/atom
**Calculated total energy**: -2.944 eV/atom
**ΔE_f**: 1.19 eV/atom
**Space group**: No. 221
**Magnetization**: 0.00 μB/cell
**Mass density**: 2273 kg/m3
**DOS at the Fermi energy**: 2.03 states/eV/f.u.
**V**: 72.5 Å³/f.u.

Lattice parameters (Å, degrees): 4.169 4.169 4.169 90.00 90.00 90.00
Element x y z (fractional)
Mg 0.000 0.000 0.000
Ti 0.500 0.500 0.500
Be 0.000 0.000 0.500
Be 0.000 0.500 0.000
Be 0.500 0.000 0.000

Entry 12:
Density functional theory data (GGA-PBE) for a relaxed structure of Sm2InAu4.

Calculated values
**Calculated total energy**: -4.202 eV/atom
**ΔE_f**: -0.59 eV/atom
**Space group**: No. 166
**Magnetization**: 0.00 μB/cell
**Mass density**: 11452 kg/m3
**DOS at the Fermi energy**: 3.86 states/eV/f.u.
**V**: 174.5 Å³/f.u.

Lattice parameters (Å, degrees): 9.527 9.527 9.527 28.54 28.54 28.54
Element x y z (fractional)
Sm 0.248 0.248 0.248
Sm 0.752 0.752 0.752
In 0.000 0.000 0.000
Au 0.138 0.138 0.138
Au 0.368 0.368 0.368
Au 0.632 0.632 0.632
Au 0.862 0.862 0.862

Entry 13:
Density functional theory data (GGA-PBE) for a relaxed structure of ZnPt2W.

Calculated values
**Calculated total energy**: -6.666 eV/atom
**ΔE_f**: -0.09 eV/atom
**Space group**: No. 44
**Magnetization**: 0.00 μB/cell
**Mass density**: 17154 kg/m3
**DOS at the Fermi energy**: 3.16 states/eV/f.u.
**V**: 61.9 Å³/f.u.

Lattice parameters (Å, degrees): 5.432 5.432 5.432 150.02 128.78 60.49
Element x y z (fractional)
Zn 0.000 0.000 0.000
Pt 0.231 0.731 0.500
Pt 0.504 0.504 0.000
W 0.754 0.254 0.500